Below is a relaxed structure of CaSi2SbO8, with properties calculated at the PBE level.

Summary:
Magnetic moment, μB/f.u.: 0.9
Energy, eV/atom: -6.76

a b c (Å): 5.6880 5.6880 5.6880
angles (deg): 106.02 106.02 116.62
Closest atoms and distances in Å follow each position.
Element x y z (fractional)
Ca (0.0000, 0.0000, 0.0000)  8 O 2.27-2.41
Si (0.7500, 0.2500, 0.5000)  4 O 1.65
Si (0.5000, 0.5000, 0.0000)  4 O 1.65
Sb (0.2500, 0.7500, 0.5000)  8 O 2.16-2.19
O (0.3859, 0.0590, 0.3269)  1 Si 1.65
O (0.3357, 0.5297, 0.1940)  1 Si 1.65
O (0.3357, 0.1417, 0.8060)  1 Si 1.65
O (0.7321, 0.0590, 0.6731)  1 Si 1.65
O (0.8583, 0.6643, 0.1940)  1 Si 1.65
O (0.9410, 0.2679, 0.3269)  1 Si 1.65
O (0.9410, 0.6141, 0.6731)  1 Si 1.65
O (0.4703, 0.6643, 0.8060)  1 Si 1.65

Below is a relaxed structure of CaSmSbO, with properties calculated at the PBE level.

Summary:
Magnetic moment, μB/f.u.: 0.0
Energy, eV/atom: -5.97

a b c (Å): 4.6433 4.6433 8.8435
angles (deg): 90.00 90.00 90.00
Closest atoms and distances in Å follow each position.
Element x y z (fractional)
Ca (0.5000, 0.0000, 0.8400)  1 O 2.33
Ca (0.0000, 0.5000, 0.1600)  1 O 2.33
Sm (0.0000, 0.0000, 0.5000)  4 O 2.42
Sm (0.5000, 0.5000, 0.5000)  4 O 2.42
Sb (0.0000, 0.5000, 0.7923)  5 Ca 3.25-3.31, 1 O 3.26, 4 Sm 3.47
Sb (0.5000, 0.0000, 0.2077)  5 Ca 3.25-3.31, 1 O 3.26, 4 Sm 3.47
O (0.0000, 0.5000, 0.4237)  1 Ca 2.33, 4 Sm 2.42
O (0.5000, 0.0000, 0.5763)  1 Ca 2.33, 4 Sm 2.42

Below is a relaxed structure of CaSmSb2O8, with properties calculated at the PBE level.

Summary:
Magnetic moment, μB/f.u.: 1.1
Energy, eV/atom: -6.55

a b c (Å): 5.3699 5.3699 6.8000
angles (deg): 113.26 113.26 90.00
Closest atoms and distances in Å follow each position.
Element x y z (fractional)
Ca (0.0000, 0.0000, 0.0000)  8 O 2.43-2.48
Sm (0.7500, 0.2500, 0.5000)  8 O 2.41-2.45
Sb (0.5000, 0.5000, 0.0000)  4 O 1.93
Sb (0.2500, 0.7500, 0.5000)  4 O 1.92
O (0.7699, 0.8366, 0.1817)  1 Sb 1.93
O (0.4118, 0.3451, 0.1817)  1 Sb 1.93
O (0.5826, 0.6550, 0.6786)  1 Sb 1.92
O (0.0961, 0.0237, 0.6786)  1 Sb 1.92
O (0.9763, 0.4174, 0.3214)  1 Sb 1.92
O (0.3450, 0.9039, 0.3214)  1 Sb 1.92
O (0.1634, 0.5882, 0.8183)  1 Sb 1.93
O (0.6549, 0.2301, 0.8183)  1 Sb 1.93

Below is a relaxed structure of Ca4Sm2Sb3O2, with properties calculated at the PBE level.

Summary:
Magnetic moment, μB/f.u.: 0.0
Energy, eV/atom: -5.36

a b c (Å): 4.6750 4.6750 13.1683
angles (deg): 100.22 100.22 90.00
Closest atoms and distances in Å follow each position.
Element x y z (fractional)
Ca (0.4165, 0.9165, 0.8331)  2 O 2.39
Ca (0.9165, 0.4165, 0.8331)  2 O 2.39
Ca (0.0835, 0.5835, 0.1669)  2 O 2.39
Ca (0.5835, 0.0835, 0.1669)  2 O 2.39
Sm (0.3062, 0.3062, 0.6124)  1 O 2.33
Sm (0.6938, 0.6938, 0.3876)  1 O 2.33
Sb (0.0000, 0.0000, 0.0000)  8 Ca 3.16
Sb (0.1791, 0.1791, 0.3582)  5 Sm 3.24-3.33, 4 Ca 3.38
Sb (0.8209, 0.8209, 0.6418)  5 Sm 3.24-3.33, 4 Ca 3.38
O (0.3976, 0.3976, 0.7952)  1 Sm 2.33, 4 Ca 2.39
O (0.6024, 0.6024, 0.2048)  1 Sm 2.33, 4 Ca 2.39

Below is a relaxed structure of SrCaSmSbO6, with properties calculated at the PBE level.

Summary:
Magnetic moment, μB/f.u.: 0.0
Energy, eV/atom: -6.73

a b c (Å): 5.9872 5.9872 5.9872
angles (deg): 60.00 60.00 60.00
Closest atoms and distances in Å follow each position.
Element x y z (fractional)
Sr (0.7500, 0.7500, 0.7500)  12 O 3.00
Ca (0.2500, 0.2500, 0.2500)  12 O 3.00
Sm (0.5000, 0.5000, 0.5000)  6 O 2.25
Sb (0.0000, 0.0000, 0.0000)  6 O 1.99
O (0.2347, 0.7653, 0.2347)  1 Sb 1.99
O (0.7653, 0.2347, 0.7653)  1 Sb 1.99
O (0.2347, 0.7653, 0.7653)  1 Sb 1.99
O (0.7653, 0.2347, 0.2347)  1 Sb 1.99
O (0.2347, 0.2347, 0.7653)  1 Sb 1.99
O (0.7653, 0.7653, 0.2347)  1 Sb 1.99

Below is a relaxed structure of SrCa2SbO, with properties calculated at the PBE level.

Summary:
Magnetic moment, μB/f.u.: 0.0
Energy, eV/atom: -4.53

a b c (Å): 4.8219 4.8219 5.2410
angles (deg): 90.00 90.00 90.00
Closest atoms and distances in Å follow each position.
Element x y z (fractional)
Sb (0.5000, 0.5000, 0.5000)  4 Sr 3.41, 8 Ca 3.56
Ca (0.0000, 0.5000, 0.0000)  2 O 2.41
Ca (0.5000, 0.0000, 0.0000)  2 O 2.41
O (0.0000, 0.0000, 0.0000)  4 Ca 2.41, 2 Sr 2.62
Sr (0.0000, 0.0000, 0.5000)  2 O 2.62